# 1
DFT (GGA-PBE) results for an optimized crystal structure of YFe2SiC.

Values from the calculation:
Symmetry: Cmcm (63)
Uncorrected formation energy, meV per atom: -524

Cell lengths 5.5437, 5.5437, 6.7322 Å; angles 90.00, 90.00, 140.37 degrees
Atoms (fractional coordinates):
Y (0.0507, 0.9493, 0.7500)
Y (0.9493, 0.0507, 0.2500)
Fe (0.3347, 0.6653, 0.5629)
Fe (0.3347, 0.6653, 0.9371)
Fe (0.6653, 0.3347, 0.0629)
Fe (0.6653, 0.3347, 0.4371)
Si (0.2297, 0.7703, 0.2500)
Si (0.7703, 0.2297, 0.7500)
C (0.5000, 0.5000, 0.0000)
C (0.5000, 0.5000, 0.5000)

***

# 2
DFT (GGA-PBE) results for an optimized crystal structure of ZrFe2SiC.

Values from the calculation:
Symmetry: Cmcm (63)
Uncorrected formation energy, meV per atom: -537

Cell lengths 5.4677, 5.4677, 6.6438 Å; angles 90.00, 90.00, 141.82 degrees
Atoms (fractional coordinates):
Zr (0.0483, 0.9517, 0.7500)
Zr (0.9517, 0.0483, 0.2500)
Fe (0.3345, 0.6655, 0.5582)
Fe (0.3345, 0.6655, 0.9418)
Fe (0.6655, 0.3345, 0.0582)
Fe (0.6655, 0.3345, 0.4418)
Si (0.2316, 0.7684, 0.2500)
Si (0.7684, 0.2316, 0.7500)
C (0.5000, 0.5000, 0.0000)
C (0.5000, 0.5000, 0.5000)

***

# 3
DFT (GGA-PBE) results for an optimized crystal structure of Sm4Fe3C5.

Values from the calculation:
E, eV per formula unit: -92.473
Symmetry: C2/m (12)

Cell lengths 5.9987, 5.9987, 9.6036 Å; angles 111.94, 111.94, 36.93 degrees
Atoms (fractional coordinates):
Sm (0.1039, 0.1039, 0.3975)
Sm (0.2549, 0.2549, 0.8334)
Sm (0.7451, 0.7451, 0.1666)
Sm (0.8961, 0.8961, 0.6025)
Fe (0.0000, 0.0000, 0.0000)
Fe (0.4579, 0.4579, 0.1651)
Fe (0.5421, 0.5421, 0.8349)
C (0.3158, 0.3158, 0.3870)
C (0.3980, 0.3980, 0.3158)
C (0.5000, 0.5000, 0.0000)
C (0.6020, 0.6020, 0.6842)
C (0.6842, 0.6842, 0.6130)

***

# 4
DFT (GGA-PBE) results for an optimized crystal structure of Sm2FeC2.

Values from the calculation:
E, eV per formula unit: -37.271
Symmetry: C2/m (12)

Cell lengths 6.1286, 6.1286, 6.8111 Å; angles 119.05, 119.05, 50.23 degrees
Atoms (fractional coordinates):
Sm (0.0443, 0.0443, 0.2883)
Sm (0.3155, 0.3155, 0.8854)
Sm (0.6845, 0.6845, 0.1146)
Sm (0.9557, 0.9557, 0.7117)
Fe (0.3717, 0.3717, 0.3686)
Fe (0.6283, 0.6283, 0.6314)
C (0.1855, 0.1855, 0.1106)
C (0.4860, 0.4860, 0.6958)
C (0.5140, 0.5140, 0.3042)
C (0.8145, 0.8145, 0.8894)